[1]
Compound: LaHfAl2Cr
Source: Alexandria
Functional: PBE
Structure: optimized geometry

Cell: 5.191 5.191 5.337 Å, 90.00 90.00 90.00°
Fractional coordinates of all 5 atoms:
La1 0.000 0.000 0.000
Hf1 0.000 0.000 0.500
Al1 0.000 0.500 0.500
Al2 0.500 0.000 0.500
Cr1 0.500 0.500 0.000

Output
As for the symmetry: P4/mmm (123). For the formation enthalpy at 0 K, the calculation gives 1547.4 meV/atom. The calculation puts the total magnetic moment at 0.5 μB per formula unit.



[2]
Compound: PmPrTl2
Source: Alexandria
Functional: PBE
Structure: optimized geometry

Cell: 3.910 3.910 7.804 Å, 90.00 90.00 90.00°
Fractional coordinates of all 4 atoms:
Pm1 0.000 0.000 0.000
Pr1 0.000 0.000 0.500
Tl1 0.500 0.500 0.244
Tl2 0.500 0.500 0.756

Output
As for the symmetry: P4/mmm (123). For the formation enthalpy at 0 K, the calculation gives -394.7 meV/atom. The calculation puts the total magnetic moment at 0.0 μB per formula unit.



[3]
Compound: RuRhW2
Source: Alexandria
Functional: PBE
Structure: optimized geometry

Cell: 4.777 4.777 4.807 Å, 99.53 99.53 34.06°
Fractional coordinates of all 4 atoms:
Ru1 0.000 0.000 0.000
Rh1 0.747 0.747 0.283
W1 0.254 0.254 0.791
W2 0.494 0.494 0.494

Output
As for the symmetry: Cm (8). The value obtained for the relative energy among the computed polymorphs is 0.0809 eV per atom. For the formation enthalpy at 0 K, the calculation gives 1.4 meV/atom. The calculation puts the total magnetic moment at 0.0 μB per formula unit.



[4]
Compound: LiMgAlGa
Source: Alexandria
Functional: PBE
Structure: optimized geometry

Cell: 4.072 4.215 4.087 Å, 90.00 90.32 90.00°
Fractional coordinates of all 4 atoms:
Li1 0.000 0.000 0.000
Mg1 0.500 0.000 0.500
Al1 0.000 0.500 0.500
Ga1 0.500 0.500 0.000

Output
As for the symmetry: P2/m (10). For the formation enthalpy at 0 K, the calculation gives -144.9 meV/atom. The calculation puts the total magnetic moment at 0.0 μB per formula unit.



[5]
Compound: AlCu2
Source: Alexandria
Functional: PBE
Structure: optimized geometry

Cell: 4.782 4.782 4.782 Å, 106.55 106.55 115.48°
Fractional coordinates of all 6 atoms:
Al1 0.250 0.250 0.000
Al2 0.750 0.750 0.000
Cu1 0.156 0.656 0.812
Cu2 0.344 0.156 0.500
Cu3 0.656 0.844 0.500
Cu4 0.844 0.344 0.188

Output
As for the symmetry: I4/mcm (140). For the formation enthalpy at 0 K, the calculation gives 72.8 meV/atom. The calculation puts the total magnetic moment at 0.0 μB per formula unit.



[6]
Compound: LiCe2Ge4Pt3
Source: Alexandria
Functional: PBE
Structure: optimized geometry

Cell: 4.301 4.301 10.297 Å, 90.00 90.00 90.00°
Fractional coordinates of all 10 atoms:
Li1 0.000 0.000 0.000
Ce1 0.000 0.500 0.752
Ce2 0.500 0.000 0.248
Ge1 0.000 0.000 0.500
Ge2 0.000 0.500 0.132
Ge3 0.500 0.000 0.868
Ge4 0.500 0.500 0.500
Pt1 0.000 0.500 0.372
Pt2 0.500 0.000 0.628
Pt3 0.500 0.500 0.000

Output
As for the symmetry: P-4m2 (115). For the formation enthalpy at 0 K, the calculation gives -860.2 meV/atom. The calculation puts the total magnetic moment at 0.7 μB per formula unit.



[7]
Compound: SmZn8Ir4
Source: Alexandria
Functional: PBE
Structure: optimized geometry

Cell: 6.724 6.724 6.724 Å, 100.05 100.05 130.62°
Fractional coordinates of all 13 atoms:
Sm1 0.000 0.000 0.000
Zn1 0.000 0.338 0.338
Zn2 0.000 0.662 0.662
Zn3 0.274 0.500 0.774
Zn4 0.338 0.000 0.338
Zn5 0.500 0.274 0.774
Zn6 0.500 0.726 0.226
Zn7 0.662 0.000 0.662
Zn8 0.726 0.500 0.226
Ir1 0.000 0.000 0.500
Ir2 0.000 0.500 0.000
Ir3 0.500 0.000 0.000
Ir4 0.500 0.500 0.500

Output
As for the symmetry: I4/mmm (139). For the formation enthalpy at 0 K, the calculation gives -329.8 meV/atom. The calculation puts the total magnetic moment at 0.0 μB per formula unit.



[8]
Compound: Rb2TlWI6
Source: Alexandria
Functional: PBE
Structure: optimized geometry

Cell: 8.686 8.686 8.686 Å, 60.00 60.00 60.00°
Fractional coordinates of all 10 atoms:
Rb1 0.250 0.250 0.250
Rb2 0.750 0.750 0.750
Tl1 0.000 0.000 0.000
W1 0.500 0.500 0.500
I1 0.272 0.272 0.728
I2 0.272 0.728 0.272
I3 0.272 0.728 0.728
I4 0.728 0.272 0.272
I5 0.728 0.272 0.728
I6 0.728 0.728 0.272

Output
As for the symmetry: Fm-3m (225). Its uncorrected formation energy is -0.64 eV per atom. The calculation puts the total magnetic moment at 3.0 μB per formula unit.



[9]
Compound: Zr4NO6
Source: Alexandria
Functional: PBE
Structure: optimized geometry

Cell: 7.376 7.376 5.520 Å, 90.00 90.00 120.00°
Fractional coordinates of all 22 atoms:
Zr1 0.180 0.359 0.000
Zr2 0.180 0.820 0.000
Zr3 0.333 0.667 0.498
Zr4 0.359 0.180 0.500
Zr5 0.641 0.820 0.000
Zr6 0.667 0.333 0.998
Zr7 0.820 0.180 0.500
Zr8 0.820 0.641 0.500
N1 0.333 0.667 0.870
N2 0.667 0.333 0.370
O1 0.081 0.540 0.256
O2 0.143 0.285 0.609
O3 0.143 0.857 0.609
O4 0.285 0.143 0.109
O5 0.460 0.540 0.256
O6 0.460 0.919 0.256
O7 0.540 0.081 0.756
O8 0.540 0.460 0.756
O9 0.715 0.857 0.609
O10 0.857 0.143 0.109
O11 0.857 0.715 0.109
O12 0.919 0.460 0.756

Output
As for the symmetry: P6_3mc (186). Its uncorrected formation energy is -2.81 eV per atom. The calculation puts the total magnetic moment at 0.0 μB per formula unit.



[10]
Compound: LaMgTeN2
Source: Alexandria
Functional: PBE
Structure: optimized geometry

Cell: 4.404 4.404 5.350 Å, 90.00 90.00 90.00°
Fractional coordinates of all 5 atoms:
La1 0.000 0.000 0.000
Mg1 0.500 0.500 0.500
Te1 0.500 0.500 0.000
N1 0.000 0.500 0.500
N2 0.500 0.000 0.500

Output
As for the symmetry: P4/mmm (123). The value obtained for the relative energy among the computed polymorphs is 0.0000 eV per atom. Its uncorrected formation energy is 0.36 eV per atom. The calculation puts the total magnetic moment at 3.0 μB per formula unit.



[11]
Compound: Rb3Hg7Au2
Source: Alexandria
Functional: PBE
Structure: optimized geometry

Cell: 6.356 4.825 13.772 Å, 90.00 101.37 90.00°
Fractional coordinates of all 12 atoms:
Rb1 0.000 0.000 0.000
Rb2 0.279 0.000 0.619
Rb3 0.721 0.000 0.381
Hg1 0.151 0.500 0.807
Hg2 0.177 0.000 0.260
Hg3 0.268 0.500 0.407
Hg4 0.500 0.500 0.000
Hg5 0.732 0.500 0.593
Hg6 0.823 0.000 0.740
Hg7 0.849 0.500 0.193
Au1 0.385 0.500 0.195
Au2 0.615 0.500 0.805

Output
As for the symmetry: P2/m (10). The value obtained for the relative energy among the computed polymorphs is 0.0219 eV per atom. For the formation enthalpy at 0 K, the calculation gives -183.1 meV/atom. The calculation puts the total magnetic moment at 0.0 μB per formula unit.



[12]
Compound: Te3IF
Source: Alexandria
Functional: PBE
Structure: optimized geometry

Cell: 5.101 5.101 5.101 Å, 90.00 90.00 90.00°
Fractional coordinates of all 5 atoms:
Te1 0.000 0.000 0.500
Te2 0.000 0.500 0.000
Te3 0.500 0.000 0.000
I1 0.500 0.500 0.500
F1 0.000 0.000 0.000

Output
As for the symmetry: Pm-3m (221). The value obtained for the relative energy among the computed polymorphs is 0.0000 eV per atom. Its uncorrected formation energy is 0.26 eV per atom. The calculation puts the total magnetic moment at 0.0 μB per formula unit.